A relaxed PdS2Br crystal, computed with PBE.

Calculated values
Formation energy (no corrections) (meV/atom): 373.6
Density of states at the Fermi level (states/eV per cell): 2.2
Spin magnetization (μB per formula unit): 0.000
Polymorph energy (0 for the lowest one) (meV/atom): 488

Cell lengths 12.742, 12.742, 12.742 Å; angles 12.81, 12.81, 12.81 degrees
Sites, in units of the cell vectors:
Pd: 0.000 0.000 0.000
S: 0.060 0.060 0.060
S: 0.940 0.940 0.940
Br: 0.500 0.500 0.500

***

A relaxed Ca3HfNi crystal, computed with PBE.

Calculated values
Density of states at the Fermi level (states/eV per cell): 8.0
Spin magnetization (μB per formula unit): 1.417
Polymorph energy (0 for the lowest one) (meV/atom): 0
E_form (eV per atom): 0.53

Cell lengths 5.343, 5.343, 5.343 Å; angles 90.00, 90.00, 90.00 degrees
Sites, in units of the cell vectors:
Ca: 0.000 0.000 0.500
Ca: 0.000 0.500 0.000
Ca: 0.500 0.000 0.000
Hf: 0.500 0.500 0.500
Ni: 0.000 0.000 0.000

***

A relaxed PS2N crystal, computed with PBE.

Calculated values
Formation energy (no corrections) (meV/atom): 783.1
Density of states at the Fermi level (states/eV per cell): 1.1
Spin magnetization (μB per formula unit): 0.000
Polymorph energy (0 for the lowest one) (meV/atom): 0

Cell lengths 6.740, 6.740, 6.740 Å; angles 30.01, 30.01, 30.01 degrees
Sites, in units of the cell vectors:
P: 0.000 0.000 0.000
S: 0.418 0.418 0.418
S: 0.582 0.582 0.582
N: 0.500 0.500 0.500

***

A relaxed Er6TlPb crystal, computed with PBE.

Calculated values
Density of states at the Fermi level (states/eV per cell): 10.3
Spin magnetization (μB per formula unit): 0.024
E_form (eV per atom): -0.21

Cell lengths 4.811, 4.811, 9.615 Å; angles 90.00, 90.00, 90.00 degrees
Sites, in units of the cell vectors:
Er: 0.000 0.000 0.000
Er: 0.000 0.000 0.500
Er: 0.000 0.500 0.249
Er: 0.000 0.500 0.751
Er: 0.500 0.000 0.249
Er: 0.500 0.000 0.751
Tl: 0.500 0.500 0.000
Pb: 0.500 0.500 0.500

***

A relaxed Na5Y3Cl12 crystal, computed with PBE.

Calculated values
Formation energy (no corrections) (meV/atom): -1768.6
Density of states at the Fermi level (states/eV per cell): 33.5
Spin magnetization (μB per formula unit): 2.023

Cell lengths 13.913, 13.913, 13.913 Å; angles 109.47, 109.47, 109.47 degrees
Sites, in units of the cell vectors:
Na: 0.000 0.000 0.000
Na: 0.000 0.000 0.500
Na: 0.000 0.500 0.000
Na: 0.000 0.500 0.500
Na: 0.125 0.750 0.875
Na: 0.125 0.875 0.250
Na: 0.250 0.125 0.875
Na: 0.250 0.625 0.375
Na: 0.375 0.250 0.625
Na: 0.375 0.625 0.750
Na: 0.500 0.000 0.000
Na: 0.500 0.000 0.500
Na: 0.500 0.500 0.000
Na: 0.500 0.500 0.500
Na: 0.625 0.375 0.250
Na: 0.625 0.750 0.375
Na: 0.750 0.375 0.625
Na: 0.750 0.875 0.125
Na: 0.875 0.125 0.750
Na: 0.875 0.250 0.125
Y: 0.125 0.250 0.375
Y: 0.125 0.375 0.750
Y: 0.250 0.375 0.125
Y: 0.250 0.875 0.625
Y: 0.375 0.125 0.250
Y: 0.375 0.750 0.125
Y: 0.625 0.250 0.875
Y: 0.625 0.875 0.750
Y: 0.750 0.125 0.375
Y: 0.750 0.625 0.875
Y: 0.875 0.625 0.250
Y: 0.875 0.750 0.625
Cl: 0.052 0.226 0.134
Cl: 0.052 0.326 0.919
Cl: 0.081 0.634 0.407
Cl: 0.081 0.948 0.674
Cl: 0.093 0.726 0.674
Cl: 0.093 0.866 0.419
Cl: 0.134 0.052 0.226
Cl: 0.134 0.581 0.907
Cl: 0.174 0.226 0.593
Cl: 0.174 0.448 0.581
Cl: 0.226 0.134 0.052
Cl: 0.226 0.593 0.174
Cl: 0.274 0.326 0.907
Cl: 0.274 0.448 0.366
Cl: 0.326 0.907 0.274
Cl: 0.326 0.919 0.052
Cl: 0.366 0.274 0.448
Cl: 0.366 0.593 0.919
Cl: 0.407 0.081 0.634
Cl: 0.407 0.826 0.774
Cl: 0.419 0.093 0.866
Cl: 0.419 0.826 0.552
Cl: 0.448 0.366 0.274
Cl: 0.448 0.581 0.174
Cl: 0.552 0.419 0.826
Cl: 0.552 0.634 0.726
Cl: 0.581 0.174 0.448
Cl: 0.581 0.907 0.134
Cl: 0.593 0.174 0.226
Cl: 0.593 0.919 0.366
Cl: 0.634 0.407 0.081
Cl: 0.634 0.726 0.552
Cl: 0.674 0.081 0.948
Cl: 0.674 0.093 0.726
Cl: 0.726 0.552 0.634
Cl: 0.726 0.674 0.093
Cl: 0.774 0.407 0.826
Cl: 0.774 0.866 0.948
Cl: 0.826 0.552 0.419
Cl: 0.826 0.774 0.407
Cl: 0.866 0.419 0.093
Cl: 0.866 0.948 0.774
Cl: 0.907 0.134 0.581
Cl: 0.907 0.274 0.326
Cl: 0.919 0.052 0.326
Cl: 0.919 0.366 0.593
Cl: 0.948 0.674 0.081
Cl: 0.948 0.774 0.866

***

A relaxed CaVCrIn2 crystal, computed with PBE.

Calculated values
Density of states at the Fermi level (states/eV per cell): 3.9
Spin magnetization (μB per formula unit): 0.861
E_form (eV per atom): 0.88

Cell lengths 5.139, 5.139, 5.275 Å; angles 90.00, 90.00, 90.00 degrees
Sites, in units of the cell vectors:
Ca: 0.000 0.000 0.000
V: 0.500 0.500 0.000
Cr: 0.000 0.000 0.500
In: 0.000 0.500 0.500
In: 0.500 0.000 0.500

***

A relaxed LiLa2IO6 crystal, computed with PBE.

Calculated values
Formation energy (no corrections) (meV/atom): -2127.0
Density of states at the Fermi level (states/eV per cell): 0.0
Spin magnetization (μB per formula unit): 0.000

Cell lengths 5.839, 5.841, 5.843 Å; angles 61.50, 61.53, 61.43 degrees
Sites, in units of the cell vectors:
Li: 0.000 0.000 0.000
La: 0.216 0.214 0.216
La: 0.731 0.731 0.733
I: 0.495 0.494 0.496
O: 0.127 0.355 0.792
O: 0.294 0.819 0.630
O: 0.356 0.789 0.129
O: 0.629 0.291 0.821
O: 0.789 0.127 0.357
O: 0.819 0.627 0.295

***

A relaxed CaRe2Ir crystal, computed with PBE.

Calculated values
Density of states at the Fermi level (states/eV per cell): 4.0
Spin magnetization (μB per formula unit): 0.000
Polymorph energy (0 for the lowest one) (meV/atom): 236
E_form (eV per atom): 0.47

Cell lengths 5.563, 5.563, 5.563 Å; angles 148.28, 128.26, 61.97 degrees
Sites, in units of the cell vectors:
Ca: 0.000 0.000 0.000
Re: 0.506 0.506 0.000
Re: 0.711 0.211 0.500
Ir: 0.278 0.778 0.500

***

A relaxed Sm2Tl3Cd crystal, computed with PBE.

Calculated values
Density of states at the Fermi level (states/eV per cell): 8.3
Spin magnetization (μB per formula unit): 0.000
E_form (eV per atom): -0.25

Cell lengths 10.216, 9.557, 6.273 Å; angles 77.32, 65.87, 36.80 degrees
Sites, in units of the cell vectors:
Sm: 0.248 0.752 0.752
Sm: 0.250 0.250 0.250
Sm: 0.750 0.750 0.750
Sm: 0.752 0.248 0.248
Tl: 0.169 0.661 0.339
Tl: 0.170 0.170 0.830
Tl: 0.339 0.831 0.169
Tl: 0.661 0.169 0.831
Tl: 0.830 0.830 0.170
Tl: 0.831 0.339 0.661
Cd: 0.333 0.333 0.667
Cd: 0.667 0.667 0.333

***

A relaxed Pm12TcPb6 crystal, computed with PBE.

Calculated values
Density of states at the Fermi level (states/eV per cell): 17.8
Spin magnetization (μB per formula unit): 0.001
E_form (eV per atom): -0.26

Cell lengths 8.643, 8.643, 8.643 Å; angles 91.99, 91.99, 91.99 degrees
Sites, in units of the cell vectors:
Pm: 0.043 0.920 0.693
Pm: 0.080 0.307 0.957
Pm: 0.202 0.421 0.553
Pm: 0.307 0.957 0.080
Pm: 0.421 0.553 0.202
Pm: 0.447 0.798 0.579
Pm: 0.553 0.202 0.421
Pm: 0.579 0.447 0.798
Pm: 0.693 0.043 0.920
Pm: 0.798 0.579 0.447
Pm: 0.920 0.693 0.043
Pm: 0.957 0.080 0.307
Tc: 0.000 0.000 0.000
Pb: 0.135 0.738 0.362
Pb: 0.262 0.638 0.865
Pb: 0.362 0.135 0.738
Pb: 0.638 0.865 0.262
Pb: 0.738 0.362 0.135
Pb: 0.865 0.262 0.638

***

A relaxed LiCu2 crystal, computed with PBE.

Calculated values
Density of states at the Fermi level (states/eV per cell): 1.5
Spin magnetization (μB per formula unit): 0.000
E_form (eV per atom): -0.02

Cell lengths 7.078, 7.078, 4.200 Å; angles 90.00, 90.00, 159.08 degrees
Sites, in units of the cell vectors:
Li: 0.214 0.786 0.750
Li: 0.786 0.214 0.250
Cu: 0.108 0.892 0.250
Cu: 0.448 0.552 0.250
Cu: 0.552 0.448 0.750
Cu: 0.892 0.108 0.750

***

A relaxed Er4HgS2 crystal, computed with PBE.

Calculated values
Formation energy (no corrections) (meV/atom): -1296.3
Density of states at the Fermi level (states/eV per cell): 8.7
Spin magnetization (μB per formula unit): 0.000

Cell lengths 6.663, 6.663, 13.453 Å; angles 90.00, 90.00, 145.79 degrees
Sites, in units of the cell vectors:
Er: 0.000 0.000 0.000
Er: 0.000 0.000 0.500
Er: 0.268 0.732 0.618
Er: 0.268 0.732 0.882
Er: 0.432 0.568 0.250
Er: 0.568 0.432 0.750
Er: 0.732 0.268 0.118
Er: 0.732 0.268 0.382
Hg: 0.111 0.889 0.250
Hg: 0.889 0.111 0.750
S: 0.365 0.635 0.059
S: 0.365 0.635 0.441
S: 0.635 0.365 0.559
S: 0.635 0.365 0.941